This record from Alexandria describes crystalline ZrNiAg2 at its relaxed geometry. The functional is PBE.

Calculated values
magnetization: 0.00 μB/cell
energy of formation from the pure elements: 49.2 meV per atom
total DFT energy (no corrections): -4.96 eV/atom
SG: Cm, No. 8

Lattice parameters (Å, degrees): 5.0220 5.0220 4.8711 71.44 71.44 37.03
Atoms (fractional coordinates):
Ag (0.0038, 0.0038, 0.9821)
Ag (0.7672, 0.7672, 0.7541)
Ni (0.5009, 0.5009, 0.4736)
Zr (0.2280, 0.2280, 0.2902)

---

This record from Alexandria describes crystalline Zr2Ni2Ag at its relaxed geometry. The functional is PBE.

Calculated values
magnetization: 0.00 μB/cell
energy of formation from the pure elements: -67.9 meV per atom
total DFT energy (no corrections): -6.37 eV/atom
SG: I4/mmm, No. 139

Lattice parameters (Å, degrees): 4.8786 4.8786 5.1643 61.81 61.81 90.00
Atoms (fractional coordinates):
Ag (0.0000, 0.0000, 0.0000)
Ni (0.3597, 0.3597, 0.2806)
Ni (0.6403, 0.6403, 0.7194)
Zr (0.2500, 0.7500, 0.5000)
Zr (0.7500, 0.2500, 0.5000)

---

This record from Alexandria describes crystalline ZrNiAg2 at its relaxed geometry. The functional is PBE.

Calculated values
magnetization: 0.00 μB/cell
energy of formation from the pure elements: 72.4 meV per atom
total DFT energy (no corrections): -4.94 eV/atom
SG: Pmmm, No. 47

Lattice parameters (Å, degrees): 3.2328 4.3912 4.9165 90.00 90.00 90.00
Atoms (fractional coordinates):
Ag (0.0000, 0.0000, 0.0000)
Ag (0.5000, 0.5000, 0.0000)
Ni (0.5000, 0.0000, 0.5000)
Zr (0.0000, 0.5000, 0.5000)

---

This record from Alexandria describes crystalline ZrNiAg2 at its relaxed geometry. The functional is PBE.

Calculated values
magnetization: 0.00 μB/cell
energy of formation from the pure elements: 173.0 meV per atom
total DFT energy (no corrections): -4.84 eV/atom
SG: Cmmm, No. 65

Lattice parameters (Å, degrees): 5.1976 5.1976 2.8867 90.00 90.00 116.86
Atoms (fractional coordinates):
Ni (0.5000, 0.0000, 0.5000)
Ag (0.0000, 0.0000, 0.0000)
Ag (0.5000, 0.5000, 0.0000)
Zr (0.0000, 0.5000, 0.5000)

---

This record from Alexandria describes crystalline ZrNiAg2 at its relaxed geometry. The functional is PBE.

Calculated values
magnetization: 0.00 μB/cell
energy of formation from the pure elements: -18.9 meV per atom
total DFT energy (no corrections): -5.03 eV/atom
SG: I-4m2, No. 119

Lattice parameters (Å, degrees): 4.8687 4.8687 4.8687 128.77 128.74 75.40
Atoms (fractional coordinates):
Ag (0.7499, 0.2499, 0.5000)
Ag (0.0001, 0.0001, 0.0000)
Ni (0.4998, 0.4998, 0.0000)
Zr (0.2502, 0.7502, 0.5000)

---

This record from Alexandria describes crystalline Zr2Ni2Ag at its relaxed geometry. The functional is PBE.

Calculated values
magnetization: 0.00 μB/cell
energy of formation from the pure elements: -50.7 meV per atom
total DFT energy (no corrections): -6.35 eV/atom
SG: I4/mmm, No. 139

Lattice parameters (Å, degrees): 3.3580 3.3580 8.3340 78.38 78.38 90.00
Atoms (fractional coordinates):
Ag (0.0000, 0.0000, 0.0000)
Ni (0.2500, 0.7500, 0.5000)
Ni (0.7500, 0.2500, 0.5000)
Zr (0.3780, 0.3780, 0.2439)
Zr (0.6220, 0.6220, 0.7561)

---

This record from Alexandria describes crystalline ZrNi2Ag2 at its relaxed geometry. The functional is PBE.

Calculated values
magnetization: 0.00 μB/cell
energy of formation from the pure elements: 51.5 meV per atom
total DFT energy (no corrections): -5.11 eV/atom
SG: P4/mbm, No. 127

Lattice parameters (Å, degrees): 6.5465 6.5465 3.7933 90.00 90.00 90.00
Atoms (fractional coordinates):
Ag (0.6666, 0.8334, 0.5000)
Ag (0.1666, 0.6666, 0.5000)
Ag (0.8334, 0.3334, 0.5000)
Ag (0.3334, 0.1666, 0.5000)
Zr (0.0000, 0.0000, 0.0000)
Zr (0.5000, 0.5000, 0.0000)
Ni (0.8721, 0.6279, 0.0000)
Ni (0.3721, 0.8721, 0.0000)
Ni (0.1279, 0.3721, 0.0000)
Ni (0.6279, 0.1279, 0.0000)

---

This record from Alexandria describes crystalline ZrNiAg2 at its relaxed geometry. The functional is PBE.

Calculated values
magnetization: 0.00 μB/cell
energy of formation from the pure elements: 221.5 meV per atom
total DFT energy (no corrections): -4.79 eV/atom
SG: R-3m, No. 166

Lattice parameters (Å, degrees): 9.6281 9.6281 9.6281 17.36 17.36 17.36
Atoms (fractional coordinates):
Ni (0.2500, 0.2500, 0.2500)
Ag (0.5085, 0.5085, 0.5085)
Ag (0.9915, 0.9915, 0.9915)
Zr (0.7500, 0.7500, 0.7500)

---

This record from Alexandria describes crystalline ZrNiAg3 at its relaxed geometry. The functional is PBE.

Calculated values
magnetization: 1.55 μB/cell
energy of formation from the pure elements: 1662.3 meV per atom
total DFT energy (no corrections): -2.91 eV/atom
SG: Pm-3m, No. 221

Lattice parameters (Å, degrees): 5.2320 5.2320 5.2320 90.00 90.00 90.00
Each line ends with the local moment (μB).
Atoms (fractional coordinates):
Ag (0.0000, 0.5000, 0.0000)  0.02
Ag (0.0000, 0.0000, 0.5000)  0.04
Ag (0.5000, 0.0000, 0.0000)  0.06
Ni (0.5000, 0.5000, 0.5000)  0.88
Zr (0.0000, 0.0000, 0.0000)  0.46

---

This record from Alexandria describes crystalline ZrNiAg2 at its relaxed geometry. The functional is PBE.

Calculated values
magnetization: 0.00 μB/cell
energy of formation from the pure elements: 119.0 meV per atom
total DFT energy (no corrections): -4.89 eV/atom
SG: P4/mmm, No. 123

Lattice parameters (Å, degrees): 3.0423 3.0423 7.4119 90.00 90.00 90.00
Atoms (fractional coordinates):
Ag (0.0000, 0.0000, 0.4629)
Ag (0.0000, 0.0000, 0.0371)
Ni (0.5000, 0.5000, 0.2500)
Zr (0.5000, 0.5000, 0.7500)

---

This record from Alexandria describes crystalline Zr2Ni2Ag at its relaxed geometry. The functional is PBE.

Calculated values
magnetization: 0.00 μB/cell
energy of formation from the pure elements: -361.0 meV per atom
total DFT energy (no corrections): -6.66 eV/atom
SG: P4/mbm, No. 127

Lattice parameters (Å, degrees): 7.1592 7.1592 3.3009 90.00 90.00 90.00
Atoms (fractional coordinates):
Zr (0.3287, 0.1713, 0.5000)
Zr (0.1713, 0.6713, 0.5000)
Zr (0.8287, 0.3287, 0.5000)
Zr (0.6713, 0.8287, 0.5000)
Ni (0.8753, 0.6247, 0.0000)
Ni (0.1247, 0.3753, 0.0000)
Ni (0.3753, 0.8753, 0.0000)
Ni (0.6247, 0.1247, 0.0000)
Ag (0.0000, 0.0000, 0.0000)
Ag (0.5000, 0.5000, 0.0000)

---

This record from Alexandria describes crystalline ZrNi2Ag2 at its relaxed geometry. The functional is PBE.

Calculated values
magnetization: 0.00 μB/cell
energy of formation from the pure elements: 300.9 meV per atom
total DFT energy (no corrections): -4.86 eV/atom
SG: I4/mmm, No. 139

Lattice parameters (Å, degrees): 3.6625 3.6625 6.8004 74.38 74.38 90.00
Atoms (fractional coordinates):
Ni (0.2500, 0.7500, 0.5000)
Ni (0.7500, 0.2500, 0.5000)
Ag (0.3926, 0.3926, 0.2147)
Ag (0.6074, 0.6074, 0.7853)
Zr (0.0000, 0.0000, 0.0000)